CaTlInBi | PBE-GGA | optimized geometry

E = -12.5 eV/cell
ΔE_f = -373 meV per atom
Energy relative to the lowest polymorph listed for this composition = 0.000 eV per atom
Total moment = 0.00 μB/f.u.

CIF file:
```
data_CaTlInBi
_chemical_formula_sum 'Ca1 Tl1 In1 Bi1'
_symmetry_space_group_name_H-M 'P m m m'
_symmetry_Int_Tables_number 47
_symmetry_space_group_name_Hall '-P 2 2'
_cell_length_a 4.751
_cell_length_b 4.870
_cell_length_c 5.099
_cell_angle_alpha 90.00
_cell_angle_beta 90.00
_cell_angle_gamma 90.00
loop_
_atom_site_label
_atom_site_fract_x
_atom_site_fract_y
_atom_site_fract_z
Ca1 0.000 0.000 0.000
Tl1 0.500 0.000 0.500
In1 0.000 0.500 0.500
Bi1 0.500 0.500 0.000
```